1.
The following is a DFT calculation (PBE-GGA) of a relaxed structure of YIr3Br.

```
YIr3Br
1.0
4.6766 0.0000 0.0000
0.0000 4.6766 0.0000
0.0000 0.0000 4.6766
Y Ir Br
1 3 1
direct
0.0000 0.0000 0.0000
0.0000 0.5000 0.5000
0.5000 0.0000 0.5000
0.5000 0.5000 0.0000
0.5000 0.5000 0.5000
```

Results
Energy above the most stable polymorph in this dataset   0 meV per atom
Space-group type   Pm-3m
Calculated volume   20.46 Å³ per atom
DOS(E_F)   0.839 states/eV per atom
Energy relative to the elements, uncorrected   21.80 kcal/mol of atoms



2.
The following is a DFT calculation (PBE-GGA) of a relaxed structure of NbAgB2S.

```
NbAgB2S
1.0
3.9870 0.0000 0.0000
0.0000 3.9870 0.0000
0.0000 0.0000 4.5561
Nb Ag B S
1 1 2 1
direct
0.0000 0.0000 0.0000
0.5000 0.5000 0.0000
0.0000 0.5000 0.5000
0.5000 0.0000 0.5000
0.0000 0.0000 0.5000
```

Results
Space-group type   P4/mmm
Calculated volume   14.49 Å³ per atom
DOS(E_F)   0.278 states/eV per atom
Energy relative to the elements, uncorrected   30.96 kcal/mol of atoms



3.
The following is a DFT calculation (PBE-GGA) of a relaxed structure of Fe3SnGe.

```
Fe3SnGe
1.0
4.5190 0.0000 0.0000
0.0000 4.5190 0.0000
0.0000 0.0000 4.5190
Fe Sn Ge
3 1 1
direct
0.0000 0.0000 0.5000
0.0000 0.5000 0.0000
0.5000 0.0000 0.0000
0.5000 0.5000 0.5000
0.0000 0.0000 0.0000
```

Results
Energy above the most stable polymorph in this dataset   0 meV per atom
Space-group type   Pm-3m
Calculated volume   18.46 Å³ per atom
DOS(E_F)   1.737 states/eV per atom
DFT formation energy   0.69 eV/atom